{
  "formula": "YGa2Bi2",
  "functional": "PBE",
  "state": "optimized geometry",
  "space_group": "I4/mmm (139)",
  "energy_ev_per_atom": -4.081,
  "ef_kj_per_mol_fu": -12,
  "crystal_system": "tetragonal",
  "polymorph_energy_mev_per_atom": 183.3,
  "mass_density_g_cm3": 7.68,
  "n_ef_per_ev_cell": 3.7,
  "lattice_angstrom": [[-2.252, 2.252, 6.884], [2.252, -2.252, 6.884], [2.252, 2.252, -6.884]],
  "species": ["Y", "Ga", "Ga", "Bi", "Bi"],
  "fractional_positions": [[0.000, 0.000, 0.000], [0.412, 0.412, 0.000], [0.588, 0.588, 0.000], [0.250, 0.750, 0.500], [0.750, 0.250, 0.500]]
}